Compound: Sm2Er3TmAs6
Source: Alexandria
Functional: PBE
Structure: relaxed

- E_form: -1.51 eV per atom
- Final energy: -6.1382 eV/atom

Unit cell a=4.126 b=8.246 c=9.220 alpha=102.90 beta=102.93 gamma=90.00
Fractional coordinates of all 12 atoms:
Sm: 0.834 0.668 0.668
Sm: 0.166 0.332 0.332
Er: 0.500 0.500 0.000
Er: 0.833 0.166 0.666
Er: 0.167 0.834 0.334
Tm: 0.500 0.000 0.000
As: 0.334 0.923 0.668
As: 0.665 0.588 0.330
As: 0.666 0.077 0.332
As: 0.998 0.248 0.995
As: 0.002 0.752 0.005
As: 0.335 0.412 0.670